# 1
The following is a DFT calculation (GGA-PBE) of an optimized crystal structure of FeNiIN2.

Values from the calculation:
The value obtained for the density of states at the Fermi level is 8.5 states/eV/cell. The offset from the most stable computed form is 15.13 kcal/mol of atoms. The formation energy without anion corrections comes out at 1.631 eV per atom.

Cell lengths 3.5751, 3.5751, 7.1262 Å; angles 90.00, 90.00, 90.00 degrees
Last column: nearest neighbours and their distance in Å.
Atoms (fractional coordinates):
Fe 0.0000 0.0000 0.0000  4 I 2.53
Ni 0.5000 0.5000 0.5000  4 N 1.79
I 0.5000 0.5000 0.0000  4 Fe 2.53
N 0.0000 0.5000 0.5000  2 Ni 1.79
N 0.5000 0.0000 0.5000  2 Ni 1.79

# 2
The following is a DFT calculation (GGA-PBE) of an optimized crystal structure of FeNiI2N.

Values from the calculation:
The value obtained for the density of states at the Fermi level is 5.0 states/eV/cell. The offset from the most stable computed form is 0.00 kcal/mol of atoms. The formation energy without anion corrections comes out at 0.681 eV per atom.

Cell lengths 5.3052, 5.3052, 3.4468 Å; angles 90.00, 90.00, 90.00 degrees
Last column: nearest neighbours and their distance in Å.
Atoms (fractional coordinates):
Fe 0.0000 0.0000 0.0000  2 N 1.72
Ni 0.5000 0.5000 0.5000  8 I 3.16, 2 Ni 3.45
I 0.0000 0.5000 0.0000  2 Fe 2.65
I 0.5000 0.0000 0.0000  2 Fe 2.65
N 0.0000 0.0000 0.5000  2 Fe 1.72

# 3
The following is a DFT calculation (GGA-PBE) of an optimized crystal structure of FeNiI2N.

Values from the calculation:
The value obtained for the density of states at the Fermi level is 5.5 states/eV/cell. The offset from the most stable computed form is 4.48 kcal/mol of atoms. The formation energy without anion corrections comes out at 0.875 eV per atom.

Cell lengths 5.4646, 5.4646, 3.5074 Å; angles 90.00, 90.00, 90.00 degrees
Last column: nearest neighbours and their distance in Å.
Atoms (fractional coordinates):
Fe 0.0000 0.0000 0.0000  8 I 3.25, 2 Fe 3.51
Ni 0.5000 0.5000 0.5000  2 N 1.75
I 0.0000 0.5000 0.5000  2 Ni 2.73
I 0.5000 0.0000 0.5000  2 Ni 2.73
N 0.5000 0.5000 0.0000  2 Ni 1.75